Record 1
VASP calculation (GGA-PBE) on a geometry-optimized MnCrPt2I structure.

Computed properties:
ρ	8.51	g/cm3
V	121.8	Å³/f.u.
energy	-25.91	eV per cell
energy relative to the elements, uncorrected	1303.0	meV per atom

abc: 5.0182 4.8372 5.0182
angles: 90.00 90.00 90.00
Closest atoms and distances in Å follow each position.
Fractional coordinates of all 5 atoms:
I (0.0000, 0.0000, 0.0000)  2 Cr 2.42, 4 Pt 2.51
Cr (0.0000, 0.5000, 0.0000)  2 I 2.42
Mn (0.5000, 0.5000, 0.5000)  8 Pt 3.49, 4 Cr 3.55
Pt (0.0000, 0.0000, 0.5000)  2 I 2.51
Pt (0.5000, 0.0000, 0.0000)  2 I 2.51

***

Record 2
VASP calculation (GGA-PBE) on a geometry-optimized Rb2MnCrI6 structure.

Computed properties:
ρ	4.48	g/cm3
V	384.9	Å³/f.u.
energy	-37.69	eV per cell
energy relative to the elements, uncorrected	-766.4	meV per atom

abc: 8.1649 8.1649 8.1655
angles: 60.00 60.00 90.00
Closest atoms and distances in Å follow each position.
Fractional coordinates of all 10 atoms:
I (0.2504, 0.2504, 0.4992)  1 Cr 2.88, 1 Mn 2.89
I (0.7496, 0.7496, 0.5008)  1 Cr 2.88, 1 Mn 2.89
I (0.2502, 0.2502, 0.0000)  1 Cr 2.88, 1 Mn 2.89
I (0.7498, 0.7498, 0.0000)  1 Cr 2.88, 1 Mn 2.89
I (0.7498, 0.2502, 0.0000)  1 Cr 2.88, 1 Mn 2.89
I (0.2502, 0.7498, 0.0000)  1 Cr 2.88, 1 Mn 2.89
Cr (0.5000, 0.5000, 0.0000)  6 I 2.88
Mn (0.0000, 0.0000, 0.0000)  6 I 2.89
Rb (0.7500, 0.2500, 0.5000)  12 I 4.08
Rb (0.2500, 0.7500, 0.5000)  12 I 4.08

***

Record 3
VASP calculation (GGA-PBE) on a geometry-optimized RbMn2CrI8 structure.

Computed properties:
ρ	4.13	g/cm3
V	508.1	Å³/f.u.
energy	-46.98	eV per cell
energy relative to the elements, uncorrected	-470.6	meV per atom

abc: 7.1771 7.1771 12.1209
angles: 72.78 72.78 60.00
Closest atoms and distances in Å follow each position.
Fractional coordinates of all 12 atoms:
Rb (0.0000, 0.0000, 0.0000)  12 I 4.18-4.53
Mn (0.7590, 0.7590, 0.7231)  4 I 2.63-2.69
Mn (0.2410, 0.2410, 0.2769)  4 I 2.63-2.69
Cr (0.5000, 0.5000, 0.5000)  6 I 2.87
I (0.6821, 0.6821, 0.9538)  1 Mn 2.63
I (0.3179, 0.3179, 0.0462)  1 Mn 2.63
I (0.5730, 0.2413, 0.3364)  1 Mn 2.69, 1 Cr 2.87
I (0.7587, 0.4270, 0.6636)  1 Mn 2.69, 1 Cr 2.87
I (0.1508, 0.7587, 0.6636)  1 Mn 2.69, 1 Cr 2.87
I (0.2413, 0.8492, 0.3364)  1 Mn 2.69, 1 Cr 2.87
I (0.8492, 0.5730, 0.3364)  1 Mn 2.69, 1 Cr 2.87
I (0.4270, 0.1508, 0.6636)  1 Mn 2.69, 1 Cr 2.87

***

Look up the energy of the first one.
-25.91 eV per cell